Entry from Alexandria: a relaxed LaZrF3 crystal (GGA-PBE).

Geometry as POSCAR:
```
LaZrF3
1.0
-0.047 -4.495 -0.003
4.442 -0.046 -0.686
0.686 -0.010 4.443
F La Zr
3 1 1
direct
0.000 0.000 0.500
0.500 0.000 0.000
0.000 0.500 0.000
0.500 0.500 0.500
0.000 0.000 0.000
```

Computed properties:
- DOS(E_F) (states/eV/f.u.) = 3.81
- electronic total energy (eV/atom) = -5.9496
- spin magnetization (μB/cell) = 3.83
- SG = Pm-3m, No. 221
- formation energy (no corrections) (kJ/mol of atoms) = -206